# CdGe2BBr (PBE, relaxed)
# Raw formation energy in kJ/mol of formula units: 672
data_CdGe2BBr
_chemical_formula_sum 'Cd1 Ge2 B1 Br1'
_symmetry_space_group_name_H-M 'P 4/m m m'
_symmetry_Int_Tables_number 123
_symmetry_space_group_name_Hall '-P 4 2'
_cell_length_a 5.2641
_cell_length_b 5.2641
_cell_length_c 4.2051
_cell_angle_alpha 90.00
_cell_angle_beta 90.00
_cell_angle_gamma 90.00
loop_
_atom_site_label
_atom_site_fract_x
_atom_site_fract_y
_atom_site_fract_z
Cd1 0.0000 0.0000 0.0000
Ge1 0.0000 0.5000 0.5000
B1 0.5000 0.5000 0.0000
Br1 0.5000 0.5000 0.5000

# TlBiI2Br (PBE, relaxed)
# Raw formation energy in kJ/mol of formula units: -197
data_TlBiI2Br
_chemical_formula_sum 'Tl1 Bi1 I2 Br1'
_symmetry_space_group_name_H-M 'P 4/m m m'
_symmetry_Int_Tables_number 123
_symmetry_space_group_name_Hall '-P 4 2'
_cell_length_a 6.2841
_cell_length_b 6.2841
_cell_length_c 5.8660
_cell_angle_alpha 90.00
_cell_angle_beta 90.00
_cell_angle_gamma 90.00
loop_
_atom_site_label
_atom_site_fract_x
_atom_site_fract_y
_atom_site_fract_z
Tl1 0.0000 0.0000 0.0000
Bi1 0.5000 0.5000 0.5000
I1 0.0000 0.5000 0.5000
Br1 0.5000 0.5000 0.0000

# LaCdCu2 (PBE, relaxed)
# DFT formation energy in meV per atom: 21
data_LaCdCu2
_chemical_formula_sum 'La4 Cd4 Cu8'
_symmetry_space_group_name_H-M 'F -4 3 m'
_symmetry_Int_Tables_number 216
_symmetry_space_group_name_Hall 'F -4 2 3'
_cell_length_a 6.9705
_cell_length_b 6.9705
_cell_length_c 6.9705
_cell_angle_alpha 90.00
_cell_angle_beta 90.00
_cell_angle_gamma 90.00
loop_
_atom_site_label
_atom_site_fract_x
_atom_site_fract_y
_atom_site_fract_z
La1 0.0000 0.0000 0.0000
Cd1 0.2500 0.2500 0.2500
Cu1 0.0000 0.0000 0.5000
Cu2 0.2500 0.2500 0.7500

# Li5Cd2GaAu2 (PBE, relaxed)
# DFT formation energy in meV per atom: -304
data_Li5Cd2GaAu2
_chemical_formula_sum 'Li10 Cd4 Ga2 Au4'
_symmetry_space_group_name_H-M 'P 4/m b m'
_symmetry_Int_Tables_number 127
_symmetry_space_group_name_Hall '-P 4 2ab'
_cell_length_a 9.7640
_cell_length_b 9.7640
_cell_length_c 3.8142
_cell_angle_alpha 90.00
_cell_angle_beta 90.00
_cell_angle_gamma 90.00
loop_
_atom_site_label
_atom_site_fract_x
_atom_site_fract_y
_atom_site_fract_z
Li1 0.0000 0.5000 0.0000
Li2 0.0761 0.1944 0.0000
Cd1 0.1682 0.6682 0.5000
Ga1 0.0000 0.0000 0.5000
Au1 0.1292 0.3708 0.5000

# CeTa2Se6 (PBE, relaxed)
# Raw formation energy in kJ/mol of formula units: -765
data_CeTa2Se6
_chemical_formula_sum 'Ce2 Ta4 Se12'
_symmetry_space_group_name_H-M 'C 1 2/m 1'
_symmetry_Int_Tables_number 12
_cell_length_a 12.3941
_cell_length_b 5.1095
_cell_length_c 8.7428
_cell_angle_alpha 90.00
_cell_angle_beta 121.37
_cell_angle_gamma 90.00
loop_
_symmetry_equiv_pos_as_xyz
'x,y,z'
'-x,-y,-z'
'-x,y,-z'
'x,-y,z'
'x+1/2,y+1/2,z'
'-x+1/2,-y+1/2,-z'
'-x+1/2,y+1/2,-z'
'x+1/2,-y+1/2,z'
loop_
_atom_site_label
_atom_site_fract_x
_atom_site_fract_y
_atom_site_fract_z
Ce1 0.0000 0.0000 0.0000
Ta1 0.1938 0.0000 0.5668
Se1 0.0315 0.0000 0.6939
Se2 0.1485 0.5000 0.0927
Se3 0.2125 0.5000 0.6362

# Pr4NO3 (PBE, relaxed)
# ΔE to the lowest computed polymorph in eV/atom: 0.010
# Raw formation energy in kJ/mol of formula units: -1844
data_Pr4NO3
_chemical_formula_sum 'Pr4 N1 O3'
_symmetry_space_group_name_H-M 'P m -3 m'
_symmetry_Int_Tables_number 221
_symmetry_space_group_name_Hall '-P 4 2 3'
_cell_length_a 5.1277
_cell_length_b 5.1277
_cell_length_c 5.1277
_cell_angle_alpha 90.00
_cell_angle_beta 90.00
_cell_angle_gamma 90.00
loop_
_atom_site_label
_atom_site_fract_x
_atom_site_fract_y
_atom_site_fract_z
Pr1 0.0000 0.0000 0.0000
Pr2 0.0000 0.5000 0.5000
N1 0.5000 0.5000 0.5000
O1 0.0000 0.0000 0.5000

# CeNd8Dy5 (PBE, relaxed)
# DFT formation energy in meV per atom: 178
data_CeNd8Dy5
_chemical_formula_sum 'Ce2 Nd16 Dy10'
_symmetry_space_group_name_H-M 'C 1 2 1'
_symmetry_Int_Tables_number 5
_cell_length_a 13.0240
_cell_length_b 11.1247
_cell_length_c 9.1494
_cell_angle_alpha 90.00
_cell_angle_beta 133.84
_cell_angle_gamma 90.00
loop_
_symmetry_equiv_pos_as_xyz
'x,y,z'
'-x,y,-z'
'x+1/2,y+1/2,z'
'-x+1/2,y+1/2,-z'
loop_
_atom_site_label
_atom_site_fract_x
_atom_site_fract_y
_atom_site_fract_z
Ce1 0.0000 0.0000 0.0000
Nd1 0.0661 0.7885 0.2766
Nd2 0.0684 0.2181 0.2845
Nd3 0.1556 0.5029 0.0517
Nd4 0.1901 0.6970 0.7637
Dy1 0.0000 0.0061 0.5000
Dy2 0.1673 0.5030 0.4556
Dy3 0.1871 0.3087 0.7563

no.,V (A^3/atom)
1,23.30
2,46.33
3,21.17
4,18.18
5,26.26
6,16.85
7,34.15